(1)
Below is a geometry-optimized Ta2TlTc structure, with properties calculated at the GGA-PBE level.

Calculated values
**V**: 73.4 Å³/f.u.
**Formation enthalpy at 0 K**: 0.263 eV per atom
**Space group**: Pmmm (47)
**E**: -8.8461 eV/atom

a b c (Å): 3.183 3.814 6.046
angles (deg): 90.00 90.00 90.00
Fractional coordinates of all 4 atoms:
Ta (0.000, 0.000, 0.030)
Ta (0.000, 0.000, 0.470)
Tc (0.500, 0.500, 0.250)
Tl (0.500, 0.500, 0.750)

(2)
Below is a geometry-optimized ZrCrMo2 structure, with properties calculated at the GGA-PBE level.

Calculated values
**V**: 66.8 Å³/f.u.
**Formation enthalpy at 0 K**: 0.383 eV per atom
**Space group**: R-3m (166)
**E**: -9.5758 eV/atom

a b c (Å): 8.860 8.860 8.860
angles (deg): 19.35 19.35 19.35
Fractional coordinates of all 4 atoms:
Cr (0.750, 0.750, 0.750)
Mo (0.011, 0.011, 0.011)
Mo (0.489, 0.489, 0.489)
Zr (0.250, 0.250, 0.250)

(3)
Below is a geometry-optimized HoSi3Ir structure, with properties calculated at the GGA-PBE level.

Calculated values
**V**: 88.2 Å³/f.u.
**Uncorrected formation energy**: -617 meV/atom
**Space group**: P2_1/m (11)
**E**: -6.5589 eV/atom

a b c (Å): 5.824 5.597 5.564
angles (deg): 90.00 90.00 76.57
Fractional coordinates of all 10 atoms:
Ho (0.176, 0.598, 0.750)
Ho (0.824, 0.402, 0.250)
Si (0.705, 0.903, 0.977)
Si (0.295, 0.097, 0.477)
Si (0.322, 0.469, 0.250)
Si (0.295, 0.097, 0.023)
Si (0.678, 0.531, 0.750)
Si (0.705, 0.903, 0.523)
Ir (0.964, 0.136, 0.750)
Ir (0.036, 0.864, 0.250)

(4)
Below is a geometry-optimized Ce3SbPt structure, with properties calculated at the GGA-PBE level.

Calculated values
**V**: 126.4 Å³/f.u.
**Uncorrected formation energy**: -737 meV/atom
**Space group**: P-1 (2)
**E**: -6.3295 eV/atom

a b c (Å): 5.680 6.402 8.273
angles (deg): 113.41 109.35 94.45
Each line ends with the local moment (μB).
Fractional coordinates of all 10 atoms:
Ce (0.298, 0.204, 0.568)  0.53
Ce (0.540, 0.260, 0.954)  0.64
Ce (0.101, 0.293, 0.169)  0.62
Ce (0.702, 0.796, 0.432)  0.53
Ce (0.899, 0.707, 0.831)  0.62
Ce (0.460, 0.740, 0.046)  0.64
Sb (0.302, 0.733, 0.627)  -0.02
Sb (0.698, 0.267, 0.373)  -0.02
Pt (0.953, 0.238, 0.781)  -0.03
Pt (0.047, 0.762, 0.219)  -0.03

Number 1: M_tot 0.0 μB per formula unit. Number 2: M_tot 0.0 μB per formula unit. Number 3: M_tot 0.0 μB per formula unit. Number 4: M_tot 2.1 μB per formula unit.